Here is a relaxed structure of BaGeIr2 from OQMD via LeMat-Bulk. Energies are from GGA-PBE.

Calculated values
Final energy = -6.1698 eV/atom
V = 22.2 Å³ per atom

Cell: 4.265 7.645 5.458 Å, 90.00 90.00 90.00°
Element x y z (fractional)
Ba1 0.000 0.083 0.000
Ba2 0.500 0.917 0.500
Ge1 0.000 0.623 0.256
Ge2 0.500 0.377 0.756
Ir1 0.000 0.338 0.505
Ir2 0.000 0.648 0.733
Ir3 0.500 0.352 0.233
Ir4 0.500 0.662 0.005